1.
First-principles (PBE-GGA) data for crystalline HfReMo at its relaxed geometry, as listed in Alexandria via LeMat-Bulk.

abc: 3.2001 3.2001 5.4858
angles: 106.96 106.96 90.00
Atoms (fractional coordinates):
Re1 0.9415 0.9415 0.8831
Mo1 0.2933 0.2933 0.5866
Hf1 0.6152 0.6152 0.2303

Properties
Volume in Å³ per atom: 17.06
Excess energy over the best structure of this formula in the dataset in eV per atom: 0.0479
Density of states at the Fermi level in states/eV per cell: 1.60
Total magnetic moment in μB/f.u.: 0.000
Total energy in eV for the cell shown: -33.96
ΔH_f (0 K) in eV/atom: -0.24


2.
First-principles (PBE-GGA) data for crystalline SmYTm2N4 at its relaxed geometry, as listed in Alexandria via LeMat-Bulk.

abc: 3.4692 6.0073 6.0102
angles: 109.43 90.00 90.00
Atoms (fractional coordinates):
Sm1 0.5000 0.5000 0.0000
Y1 0.0000 0.0000 0.0000
Tm1 0.5000 0.0000 0.5000
Tm2 0.0000 0.5000 0.5000
N1 0.5000 0.2496 0.2571
N2 0.5000 0.7504 0.7429
N3 0.0000 0.2441 0.7405
N4 0.0000 0.7559 0.2595

Properties
Volume in Å³ per atom: 14.77
Density of states at the Fermi level in states/eV per cell: 0.22
Formation energy without anion corrections in meV/atom: -1690
Total magnetic moment in μB/f.u.: 0.000
Total energy in eV for the cell shown: -66.95


3.
First-principles (PBE-GGA) data for crystalline AcPm2NpN4 at its relaxed geometry, as listed in Alexandria via LeMat-Bulk.

abc: 3.6631 6.5086 12.8345
angles: 90.00 90.00 106.34
Atoms (fractional coordinates):
Ac1 0.1307 0.2614 0.7500
Ac2 0.8693 0.7386 0.2500
Pm1 0.3708 0.7416 0.5282
Pm2 0.6292 0.2584 0.0282
Pm3 0.6292 0.2584 0.4718
Pm4 0.3708 0.7416 0.9718
Np1 0.8631 0.7263 0.7500
Np2 0.1369 0.2737 0.2500
N1 0.2560 0.5120 0.1222
N2 0.7440 0.4880 0.6222
N3 0.7440 0.4880 0.8778
N4 0.2560 0.5120 0.3778
N5 0.0000 0.0000 0.5000
N6 0.0000 0.0000 0.0000
N7 0.4653 0.9306 0.7500
N8 0.5347 0.0694 0.2500

Properties
Volume in Å³ per atom: 18.35
Density of states at the Fermi level in states/eV per cell: 10.73
Formation energy without anion corrections in meV/atom: -1018
Total magnetic moment in μB/f.u.: 3.700
Total energy in eV for the cell shown: -136.00


4.
First-principles (PBE-GGA) data for crystalline BaTl5Au2 at its relaxed geometry, as listed in Alexandria via LeMat-Bulk.

abc: 4.6940 7.6081 7.6081
angles: 71.79 72.03 72.03
Atoms (fractional coordinates):
Ba1 0.0000 0.0000 0.0000
Tl1 0.0000 0.5000 0.5000
Tl2 0.6497 0.5400 0.1605
Tl3 0.3503 0.4600 0.8395
Tl4 0.3503 0.8395 0.4600
Tl5 0.6497 0.1605 0.5400
Au1 0.7307 0.7693 0.7693
Au2 0.2693 0.2307 0.2307

Properties
Volume in Å³ per atom: 29.83
Density of states at the Fermi level in states/eV per cell: 4.16
Total magnetic moment in μB/f.u.: 0.000
Total energy in eV for the cell shown: -22.02
ΔH_f (0 K) in eV/atom: -0.21


5.
First-principles (PBE-GGA) data for crystalline KTl2ReI8 at its relaxed geometry, as listed in Alexandria via LeMat-Bulk.

abc: 7.0787 8.7425 9.8263
angles: 89.95 90.01 119.47
Atoms (fractional coordinates):
K1 0.0000 0.0000 0.5000
Tl1 0.5009 0.4999 0.7418
Tl2 0.4991 0.5001 0.2582
Re1 0.0000 0.0000 0.0000
I1 0.0285 0.7875 0.1948
I2 0.5615 0.7987 0.9995
I3 0.9701 0.2118 0.1945
I4 0.9715 0.2125 0.8052
I5 0.4385 0.2013 0.0005
I6 0.0299 0.7882 0.8055
I7 0.4275 0.7204 0.5003
I8 0.5725 0.2796 0.4997

Properties
Volume in Å³ per atom: 44.12
Density of states at the Fermi level in states/eV per cell: 5.06
Formation energy without anion corrections in meV/atom: -411
Total magnetic moment in μB/f.u.: 2.030
Total energy in eV for the cell shown: -35.61


6.
First-principles (PBE-GGA) data for crystalline Er2TmAgN at its relaxed geometry, as listed in Alexandria via LeMat-Bulk.

abc: 4.7595 4.7595 4.6701
angles: 90.00 90.00 90.00
Atoms (fractional coordinates):
Er1 0.0000 0.5000 0.9999
Er2 0.5000 0.0000 0.9999
Tm1 0.0000 0.0000 0.4999
Ag1 0.5000 0.5000 0.5004
N1 0.0000 0.0000 0.9999

Properties
Volume in Å³ per atom: 21.16
Density of states at the Fermi level in states/eV per cell: 6.80
Formation energy without anion corrections in meV/atom: -779
Total magnetic moment in μB/f.u.: 0.002
Total energy in eV for the cell shown: -28.67


7.
First-principles (PBE-GGA) data for crystalline Sr2MgAlO5 at its relaxed geometry, as listed in Alexandria via LeMat-Bulk.

abc: 3.4109 6.7869 10.5455
angles: 90.00 90.00 104.55
Atoms (fractional coordinates):
Sr1 0.8603 0.7206 0.8069
Sr2 0.1043 0.2086 0.6735
Sr3 0.1397 0.2794 0.3069
Sr4 0.8957 0.7914 0.1735
Mg1 0.7889 0.5777 0.5194
Mg2 0.2111 0.4223 0.0194
Al1 0.5298 0.0597 0.9590
Al2 0.4702 0.9403 0.4590
O1 0.3786 0.7572 0.9945
O2 0.6773 0.3546 0.9083
O3 0.5042 0.0085 0.7915
O4 0.2868 0.5736 0.6452
O5 0.9520 0.9040 0.5257
O6 0.6214 0.2428 0.4945
O7 0.3227 0.6454 0.4083
O8 0.4958 0.9915 0.2915
O9 0.7132 0.4264 0.1452
O10 0.0480 0.0960 0.0257

Properties
Volume in Å³ per atom: 13.13
Density of states at the Fermi level in states/eV per cell: 2.10
Formation energy without anion corrections in meV/atom: -2568
Total magnetic moment in μB/f.u.: 1.053
Total energy in eV for the cell shown: -113.22


8.
First-principles (PBE-GGA) data for crystalline CsK2NaBr at its relaxed geometry, as listed in Alexandria via LeMat-Bulk.

abc: 6.5511 6.5511 7.1861
angles: 90.00 90.00 90.00
Atoms (fractional coordinates):
Cs1 0.0000 0.0000 0.5000
Na1 0.5000 0.5000 0.5000
K1 0.0000 0.5000 0.0000
K2 0.5000 0.0000 0.0000
Br1 0.0000 0.0000 0.0000

Properties
Volume in Å³ per atom: 61.68
Excess energy over the best structure of this formula in the dataset in eV per atom: 0.0000
Density of states at the Fermi level in states/eV per cell: 2.91
Formation energy without anion corrections in meV/atom: -631
Total magnetic moment in μB/f.u.: 0.000
Total energy in eV for the cell shown: -9.20


9.
First-principles (PBE-GGA) data for crystalline Pr3Sm4Ho3 at its relaxed geometry, as listed in Alexandria via LeMat-Bulk.

abc: 3.7736 9.5117 9.5117
angles: 90.55 90.00 90.00
Atoms (fractional coordinates):
Pr1 0.5000 0.8287 0.1713
Pr2 0.5000 0.3275 0.3291
Pr3 0.5000 0.6709 0.6725
Sm1 0.0000 0.6288 0.3712
Sm2 0.0000 0.3692 0.6308
Sm3 0.0000 0.8754 0.8694
Sm4 0.0000 0.1306 0.1246
Ho1 0.0000 0.4941 0.9972
Ho2 0.0000 0.0028 0.5059
Ho3 0.5000 0.1720 0.8280

Properties
Volume in Å³ per atom: 34.14
Density of states at the Fermi level in states/eV per cell: 9.36
Total magnetic moment in μB/f.u.: 0.000
Total energy in eV for the cell shown: -45.83
ΔH_f (0 K) in eV/atom: 0.11


10.
First-principles (PBE-GGA) data for crystalline Y2AgBr at its relaxed geometry, as listed in Alexandria via LeMat-Bulk.

abc: 6.7382 6.7382 6.7382
angles: 143.65 143.65 52.35
Atoms (fractional coordinates):
Y1 0.0000 0.0000 0.0000
Y2 0.2500 0.7500 0.5000
Br1 0.7500 0.2500 0.5000
Ag1 0.5000 0.5000 0.0000

Properties
Volume in Å³ per atom: 26.72
Excess energy over the best structure of this formula in the dataset in eV per atom: 0.2538
Density of states at the Fermi level in states/eV per cell: 2.71
Formation energy without anion corrections in meV/atom: -348
Total magnetic moment in μB/f.u.: 0.000
Total energy in eV for the cell shown: -18.84


11.
First-principles (PBE-GGA) data for crystalline Rb3U3FeTe8 at its relaxed geometry, as listed in Alexandria via LeMat-Bulk.

abc: 8.7917 8.7882 10.1433
angles: 115.64 90.00 120.01
Atoms (fractional coordinates):
Rb1 0.0000 0.0000 0.0000
Rb2 0.0000 0.5000 0.0000
Rb3 0.5000 0.5000 0.0000
U1 0.5000 0.0000 0.5000
U2 0.5000 0.5000 0.5000
U3 0.0000 0.5000 0.5000
Fe1 0.0000 0.0000 0.5000
Te1 0.2654 0.5309 0.2963
Te2 0.7346 0.4691 0.7037
Te3 0.7793 0.5587 0.3132
Te4 0.2207 0.4413 0.6868
Te5 0.7787 0.0340 0.3127
Te6 0.2213 0.9660 0.6873
Te7 0.2553 0.0340 0.3127
Te8 0.7447 0.9660 0.6873

Properties
Volume in Å³ per atom: 39.19
Density of states at the Fermi level in states/eV per cell: 22.11
Formation energy without anion corrections in meV/atom: -653
Total magnetic moment in μB/f.u.: 10.720
Total energy in eV for the cell shown: -80.16


12.
First-principles (PBE-GGA) data for crystalline Be2SiSb at its relaxed geometry, as listed in Alexandria via LeMat-Bulk.

abc: 4.4438 4.4438 3.1759
angles: 90.00 90.00 102.10
Atoms (fractional coordinates):
Sb1 0.5000 0.0000 0.5000
Si1 0.0000 0.5000 0.5000
Be1 0.0000 0.0000 0.0000
Be2 0.5000 0.5000 0.0000

Properties
Volume in Å³ per atom: 15.33
Excess energy over the best structure of this formula in the dataset in eV per atom: 0.4041
Density of states at the Fermi level in states/eV per cell: 1.15
Formation energy without anion corrections in meV/atom: 724
Total magnetic moment in μB/f.u.: 0.000
Total energy in eV for the cell shown: -14.10